# 1
TlHg2SbO6 | PBE | optimized geometry

The structure belongs to space group R3 (No. 146, hexagonal axes); the cell edges are 5.7896, 5.7896 and 14.4391 Å and the angles 90.00°, 90.00° and 120.00°. Symmetry generates all atoms from Tl at (0.0000, 0.0000, 0.0000), Hg at (0.0000, 0.0000, 0.2510), Hg at (0.0000, 0.0000, 0.7498), Sb at (0.0000, 0.0000, 0.4999), O at (0.0278, 0.3994, 0.2466) and O at (0.0665, 0.7044, 0.0859).

The calculation puts the formation energy from raw total energies at -0.738 eV per atom. For the total DFT energy (no corrections), the calculation gives -132.65 eV/cell. The calculation puts the density of states at the Fermi level at 0.19 states/eV/atom.

=====

# 2
UHgSbO6 | PBE | optimized geometry

The structure belongs to space group P-31c (No. 163); the cell edges are 5.6116, 5.6116 and 9.9038 Å and the angles 90.00°, 90.00° and 120.00°. Symmetry generates all atoms from U at (0.3333, 0.6667, 0.2500), Hg at (0.0000, 0.0000, 0.0000), Sb at (0.3333, 0.6667, 0.7500) and O at (0.0185, 0.3734, 0.6393).

The calculation puts the formation energy from raw total energies at -1.747 eV per atom. For the total DFT energy (no corrections), the calculation gives -122.36 eV/cell. The calculation puts the density of states at the Fermi level at 0.41 states/eV/atom.